(1)
First-principles (PBE) data for a relaxed Sc5InAu4 crystal, as listed in the Alexandria database.

## Properties
Magnetic moment ... 0.0 μB per cell
Total DFT energy (no corrections) ... -54.86 eV for the cell shown
Density ... 9.219 Mg/m³
Formation energy from the elements ... -0.735 eV/atom

abc: 3.401 3.401 17.555
angles: 90.00 90.00 90.00
Space group P4/mmm (No. 123)
Asymmetric unit:
Sc  0.000  0.000  0.000 x1
Sc  0.000  0.000  0.194 x2
Sc  0.000  0.000  0.387 x2
In  0.500  0.500  0.500 x1
Au  0.500  0.500  0.096 x2
Au  0.500  0.500  0.292 x2

=====

(2)
First-principles (PBE) data for a relaxed Sc2InAu crystal, as listed in the Alexandria database.

## Properties
Magnetic moment ... 0.0 μB per cell
Total DFT energy (no corrections) ... -40.68 eV for the cell shown
Density ... 7.353 Mg/m³
Formation energy from the elements ... -0.416 eV/atom

abc: 9.112 3.473 5.906
angles: 90.00 103.90 90.00
Space group C2/m (No. 12)
Asymmetric unit:
Sc  0.240  0.000  0.234 x4
In  0.000  0.000  0.500 x2
Au  0.000  0.500  0.000 x2

=====

(3)
First-principles (PBE) data for a relaxed Sc2InAu crystal, as listed in the Alexandria database.

## Properties
Magnetic moment ... 7.7 μB per cell
Total DFT energy (no corrections) ... -79.32 eV for the cell shown
Density ... 8.033 Mg/m³
Formation energy from the elements ... -0.288 eV/atom

abc: 6.925 6.925 6.925
angles: 90.00 90.00 90.00
Space group F-43m (No. 216)
Asymmetric unit:
Sc  0.000  0.000  0.000 x4
Sc  0.250  0.250  0.250 x4
In  0.250  0.250  0.750 x4
Au  0.000  0.000  0.500 x4

=====

(4)
First-principles (PBE) data for a relaxed ScIn4Au crystal, as listed in the Alexandria database.

## Properties
Magnetic moment ... 0.0 μB per cell
Total DFT energy (no corrections) ... -79.18 eV for the cell shown
Density ... 7.874 Mg/m³
Formation energy from the elements ... 0.128 eV/atom

abc: 8.394 8.394 8.394
angles: 90.00 90.00 90.00
Space group F-43m (No. 216)
Asymmetric unit:
Sc  0.000  0.000  0.000 x4
In  0.125  0.125  0.375 x16
Au  0.250  0.250  0.750 x4

=====

(5)
First-principles (PBE) data for a relaxed ScInAu crystal, as listed in the Alexandria database.

## Properties
Magnetic moment ... 0.0 μB per cell
Total DFT energy (no corrections) ... -13.50 eV for the cell shown
Density ... 8.559 Mg/m³
Formation energy from the elements ... -0.384 eV/atom

abc: 3.5611 3.5611 6.3022
angles: 90.00 90.00 120.00
Space group P3m1 (No. 156)
Asymmetric unit:
Sc  0.0000  0.0000  0.0000 x1
In  0.6667  0.3333  0.6227 x1
Au  0.3333  0.6667  0.2891 x1

=====

(6)
First-principles (PBE) data for a relaxed Sc2InAu crystal, as listed in the Alexandria database.

## Properties
Magnetic moment ... 0.7 μB per cell
Total DFT energy (no corrections) ... -20.36 eV for the cell shown
Density ... 7.744 Mg/m³
Formation energy from the elements ... -0.421 eV/atom

abc: 3.659 3.659 6.433
angles: 90.00 90.00 90.00
Space group P4mm (No. 99)
Asymmetric unit:
Sc  0.000  0.000  0.000 x1
Sc  0.500  0.500  0.281 x1
In  0.500  0.500  0.760 x1
Au  0.000  0.000  0.496 x1

=====

(7)
First-principles (PBE) data for a relaxed Sc3In2Au2 crystal, as listed in the Alexandria database.

## Properties
Magnetic moment ... 1.0 μB per cell
Total DFT energy (no corrections) ... -70.12 eV for the cell shown
Density ... 8.455 Mg/m³
Formation energy from the elements ... -0.576 eV/atom

abc: 4.371 21.110 3.229
angles: 90.00 90.00 90.00
Space group Cmmm (No. 65)
Asymmetric unit:
Sc  0.000  0.000  0.000 x2
Sc  0.000  0.161  0.000 x4
In  0.000  0.424  0.500 x4
Au  0.000  0.290  0.500 x4

=====

(8)
First-principles (PBE) data for a relaxed Sr2ScInAu6 crystal, as listed in the Alexandria database.

## Properties
Magnetic moment ... 0.0 μB per cell
Total DFT energy (no corrections) ... -140.17 eV for the cell shown
Density ... 8.582 Mg/m³
Formation energy from the elements ... -0.294 eV/atom

abc: 10.549 10.549 10.549
angles: 90.00 90.00 90.00
Space group Fm-3m (No. 225)
Asymmetric unit:
Sr  0.250  0.250  0.250 x8
Sc  0.000  0.000  0.000 x4
In  0.000  0.000  0.500 x4
Au  0.000  0.000  0.247 x24

=====

(9)
First-principles (PBE) data for a relaxed TbSc2InAu4 crystal, as listed in the Alexandria database.

## Properties
Magnetic moment ... 0.0 μB per cell
Total DFT energy (no corrections) ... -116.45 eV for the cell shown
Density ... 11.484 Mg/m³
Formation energy from the elements ... -0.709 eV/atom

abc: 4.8591 4.8591 24.4281
angles: 90.00 90.00 120.00
Space group R-3m (No. 166, hexagonal axes)
Asymmetric unit:
Tb  0.0000  0.0000  0.0000 x3
Sc  0.0000  0.0000  0.2435 x6
In  0.0000  0.0000  0.5000 x3
Au  0.0000  0.0000  0.1205 x6
Au  0.0000  0.0000  0.3744 x6

=====

(10)
First-principles (PBE) data for a relaxed ThScInAu crystal, as listed in the Alexandria database.

## Properties
Magnetic moment ... 3.3 μB per cell
Total DFT energy (no corrections) ... -85.68 eV for the cell shown
Density ... 9.801 Mg/m³
Formation energy from the elements ... -0.413 eV/atom

abc: 7.362 7.362 7.362
angles: 90.00 90.00 90.00
Space group F-43m (No. 216)
Asymmetric unit:
Th  0.000  0.000  0.000 x4
Sc  0.000  0.000  0.500 x4
In  0.250  0.250  0.750 x4
Au  0.250  0.250  0.250 x4

=====

(11)
First-principles (PBE) data for a relaxed ScTlInAu crystal, as listed in the Alexandria database.

## Properties
Magnetic moment ... 0.0 μB per cell
Total DFT energy (no corrections) ... -63.22 eV for the cell shown
Density ... 10.520 Mg/m³
Formation energy from the elements ... -0.273 eV/atom

abc: 7.076 7.076 7.076
angles: 90.00 90.00 90.00
Space group F-43m (No. 216)
Asymmetric unit:
Sc  0.000  0.000  0.000 x4
Tl  0.250  0.250  0.750 x4
In  0.000  0.000  0.500 x4
Au  0.250  0.250  0.250 x4

=====

(12)
First-principles (PBE) data for a relaxed TmScInAu crystal, as listed in the Alexandria database.

## Properties
Magnetic moment ... 0.0 μB per cell
Total DFT energy (no corrections) ... -19.41 eV for the cell shown
Density ... 9.661 Mg/m³
Polymorph energy (0 for the lowest one) ... 0.0 meV/atom
Formation energy from the elements ... -0.647 eV/atom

abc: 3.493 3.493 7.408
angles: 90.00 90.00 90.00
Space group P4mm (No. 99)
Asymmetric unit:
Tm  0.000  0.000  0.000 x1
Sc  0.000  0.000  0.539 x1
In  0.500  0.500  0.283 x1
Au  0.500  0.500  0.752 x1